Here is a relaxed LaMnNi2 crystal from Alexandria via LeMat-Bulk. Energies are from PBE-GGA.

Cell lengths 3.2236, 3.2201, 6.6019 Å; angles 90.00, 90.00, 90.00 degrees
Each line ends with the local moment (μB).
Atoms (fractional coordinates):
La1 0.0000 0.0000 0.4737  -0.08
Mn1 0.5000 0.5000 0.8363  3.44
Ni1 0.0000 0.0000 0.9951  0.47
Ni2 0.5000 0.5000 0.1949  0.07

Values from the calculation:
Its density of states at the Fermi level is 4.37 states/eV/f.u. The energy of formation comes out at 0.14 eV/atom. For the total magnetization, the calculation gives 4.00 μB/cell.